CsU2CrO8 after structural relaxation. Source: Alexandria via LeMat-Bulk, functional PBE with a Hubbard U.

Size of the total moment ... 3.00 μB/cell
Total energy ... -8.45 eV per atom

Unit cell a=4.5726 b=4.6499 c=10.0557 alpha=84.17 beta=90.63 gamma=90.56
With the nearest neighbours (Å) after each atom.
Sites, in units of the cell vectors:
Cs 0.0000 0.0000 0.5000  4 O 3.05-3.23
U 0.4524 0.4951 0.8255  4 O 1.90-2.07
U 0.5476 0.5049 0.1745  4 O 1.90-2.07
Cr 0.0000 0.0000 0.0000  6 O 1.98-2.05
O 0.1883 0.7512 0.1580  1 U 2.01, 1 Cr 2.05
O 0.6907 0.7014 0.9926  1 Cr 1.98, 1 U 2.07
O 0.8006 0.1619 0.1575  1 U 2.00, 1 Cr 2.05
O 0.8117 0.2488 0.8420  1 U 2.01, 1 Cr 2.05
O 0.3093 0.2986 0.0074  1 Cr 1.98, 1 U 2.07
O 0.1994 0.8381 0.8425  1 U 2.00, 1 Cr 2.05
O 0.5266 0.6237 0.6439  1 U 1.90
O 0.4734 0.3763 0.3561  1 U 1.90